Record 1
Material: LaNd3Pd
Method: DFT, PBE
State: optimized geometry

The relative energy among the computed polymorphs is 53 meV/atom. The formation energy is -0.26 eV/atom. The value obtained for the total energy is -102.9 eV/cell.

a = 8.4983 Å, b = 7.2394 Å, c = 10.6827 Å
α = 90.00°, β = 108.15°, γ = 90.00°
Space group P2_1/c (No. 14)
Inequivalent atoms, fractional coordinates:
La (0.1857, 0.0200, 0.2695) [4 per cell]
Nd (0.0415, 0.7245, 0.0131) [4 per cell]
Nd (0.2712, 0.0013, 0.8661) [4 per cell]
Nd (0.4166, 0.1404, 0.6097) [4 per cell]
Pd (0.4190, 0.7339, 0.5993) [4 per cell]

=====

Record 2
Material: LaNd2Pd
Method: DFT, PBE
State: optimized geometry

The relative energy among the computed polymorphs is 0 meV/atom. The formation energy is -0.41 eV/atom. The value obtained for the total energy is -85.2 eV/cell.

a = 7.3053 Å, b = 10.2022 Å, c = 6.6827 Å
α = 90.00°, β = 90.00°, γ = 90.00°
Space group Pnma (No. 62)
Inequivalent atoms, fractional coordinates:
La (0.0251, 0.2500, 0.1425) [4 per cell]
Nd (0.1784, 0.0609, 0.6674) [8 per cell]
Pd (0.1187, 0.7500, 0.4281) [4 per cell]

=====

Record 3
Material: LaNdPdPt
Method: DFT, PBE
State: optimized geometry

The relative energy among the computed polymorphs is 98 meV/atom. The formation energy is -0.90 eV/atom. The value obtained for the total energy is -98.2 eV/cell.

a = 7.2880 Å, b = 7.2880 Å, c = 7.2880 Å
α = 90.00°, β = 90.00°, γ = 90.00°
Space group F-43m (No. 216)
Inequivalent atoms, fractional coordinates:
La (0.0000, 0.0000, 0.0000) [4 per cell]
Nd (0.0000, 0.0000, 0.5000) [4 per cell]
Pd (0.2500, 0.2500, 0.7500) [4 per cell]
Pt (0.2500, 0.2500, 0.2500) [4 per cell]

=====

Record 4
Material: LaNdPdPt
Method: DFT, PBE
State: optimized geometry

The relative energy among the computed polymorphs is 0 meV/atom. The formation energy is -1.00 eV/atom. The value obtained for the total energy is -49.9 eV/cell.

a = 4.6288 Å, b = 3.9477 Å, c = 10.9647 Å
α = 90.00°, β = 90.00°, γ = 90.00°
Space group Amm2 (No. 38)
Inequivalent atoms, fractional coordinates:
La (0.0000, 0.0000, 0.0000) [2 per cell]
Nd (0.5000, 0.0000, 0.2715) [2 per cell]
Pd (0.5000, 0.0000, 0.5490) [2 per cell]
Pt (0.0000, 0.0000, 0.7251) [2 per cell]

=====

Record 5
Material: LaNdPdRh
Method: DFT, PBE
State: optimized geometry

The relative energy among the computed polymorphs is 0 meV/atom. The formation energy is -0.78 eV/atom. The value obtained for the total energy is -50.7 eV/cell.

a = 4.3808 Å, b = 3.9797 Å, c = 11.1567 Å
α = 90.00°, β = 90.00°, γ = 90.00°
Space group Amm2 (No. 38)
Inequivalent atoms, fractional coordinates:
La (0.0000, 0.0000, 0.0000) [2 per cell]
Nd (0.5000, 0.0000, 0.2754) [2 per cell]
Pd (0.0000, 0.0000, 0.7205) [2 per cell]
Rh (0.5000, 0.0000, 0.5427) [2 per cell]

=====

Record 6
Material: LaNdPdRh
Method: DFT, PBE
State: optimized geometry

The relative energy among the computed polymorphs is 68 meV/atom. The formation energy is -0.71 eV/atom. The value obtained for the total energy is -100.4 eV/cell.

a = 7.2100 Å, b = 7.2100 Å, c = 7.2100 Å
α = 90.00°, β = 90.00°, γ = 90.00°
Space group F-43m (No. 216)
Inequivalent atoms, fractional coordinates:
La (0.0000, 0.0000, 0.0000) [4 per cell]
Nd (0.0000, 0.0000, 0.5000) [4 per cell]
Pd (0.2500, 0.2500, 0.2500) [4 per cell]
Rh (0.2500, 0.2500, 0.7500) [4 per cell]

=====

Record 7
Material: LaNdPdRu
Method: DFT, PBE
State: optimized geometry

The formation energy is -0.43 eV/atom. The value obtained for the total energy is -103.6 eV/cell.

a = 7.1855 Å, b = 7.1855 Å, c = 7.1855 Å
α = 90.00°, β = 90.00°, γ = 90.00°
Space group F-43m (No. 216)
Inequivalent atoms, fractional coordinates:
La (0.0000, 0.0000, 0.0000) [4 per cell]
Nd (0.0000, 0.0000, 0.5000) [4 per cell]
Pd (0.2500, 0.2500, 0.7500) [4 per cell]
Ru (0.2500, 0.2500, 0.2500) [4 per cell]

=====

Record 8
Material: LaNdSb2Pd2
Method: DFT, PBE
State: optimized geometry

The formation energy without anion corrections comes out at -6.6 eV per formula unit. The value obtained for the total energy is -35.0 eV/cell.

a = 4.6340 Å, b = 4.6340 Å, c = 8.1031 Å
α = 90.00°, β = 90.00°, γ = 120.00°
Space group P-3m1 (No. 164)
Inequivalent atoms, fractional coordinates:
La (0.0000, 0.0000, 0.0000) [1 per cell]
Nd (0.0000, 0.0000, 0.5000) [1 per cell]
Sb (0.3333, 0.6667, 0.2509) [2 per cell]
Pd (0.3333, 0.6667, 0.7365) [2 per cell]

=====

Record 9
Material: LaNdSnPd
Method: DFT, PBE
State: optimized geometry

The formation energy is -0.69 eV/atom. The value obtained for the total energy is -86.6 eV/cell.

a = 7.6153 Å, b = 7.6153 Å, c = 7.6153 Å
α = 90.00°, β = 90.00°, γ = 90.00°
Space group F-43m (No. 216)
Inequivalent atoms, fractional coordinates:
La (0.0000, 0.0000, 0.0000) [4 per cell]
Nd (0.0000, 0.0000, 0.5000) [4 per cell]
Sn (0.2500, 0.2500, 0.7500) [4 per cell]
Pd (0.2500, 0.2500, 0.2500) [4 per cell]

=====

Record 10
Material: LaNdTlPd
Method: DFT, PBE
State: optimized geometry

The formation energy is -0.48 eV/atom. The value obtained for the total energy is -76.7 eV/cell.

a = 7.6287 Å, b = 7.6287 Å, c = 7.6287 Å
α = 90.00°, β = 90.00°, γ = 90.00°
Space group F-43m (No. 216)
Inequivalent atoms, fractional coordinates:
La (0.0000, 0.0000, 0.0000) [4 per cell]
Nd (0.0000, 0.0000, 0.5000) [4 per cell]
Tl (0.2500, 0.2500, 0.2500) [4 per cell]
Pd (0.2500, 0.2500, 0.7500) [4 per cell]

=====

Record 11
Material: LaNdZnPd
Method: DFT, PBE
State: optimized geometry

The relative energy among the computed polymorphs is 0 meV/atom. The formation energy is -0.54 eV/atom. The value obtained for the total energy is -36.7 eV/cell.

a = 4.5715 Å, b = 3.9704 Å, c = 11.4460 Å
α = 90.00°, β = 90.00°, γ = 90.00°
Space group Amm2 (No. 38)
Inequivalent atoms, fractional coordinates:
La (0.0000, 0.0000, 0.0000) [2 per cell]
Nd (0.5000, 0.0000, 0.2788) [2 per cell]
Zn (0.0000, 0.0000, 0.7158) [2 per cell]
Pd (0.5000, 0.0000, 0.5715) [2 per cell]

=====

Record 12
Material: LaNdZnPd
Method: DFT, PBE
State: optimized geometry

The relative energy among the computed polymorphs is 45 meV/atom. The formation energy is -0.50 eV/atom. The value obtained for the total energy is -72.6 eV/cell.

a = 7.3824 Å, b = 7.3824 Å, c = 7.3824 Å
α = 90.00°, β = 90.00°, γ = 90.00°
Space group F-43m (No. 216)
Inequivalent atoms, fractional coordinates:
La (0.0000, 0.0000, 0.0000) [4 per cell]
Nd (0.0000, 0.0000, 0.5000) [4 per cell]
Zn (0.2500, 0.2500, 0.2500) [4 per cell]
Pd (0.2500, 0.2500, 0.7500) [4 per cell]